[1]
# NbFeSN2, relaxed, DFT PBE
data_NbFeSN2
_chemical_formula_sum 'Nb1 Fe1 S1 N2'
_cell_length_a 3.657
_cell_length_b 3.657
_cell_length_c 4.462
_cell_angle_alpha 90.00
_cell_angle_beta 90.00
_cell_angle_gamma 90.00
_space_group_name_H-M_alt 'P 4/m m m'
_space_group_IT_number 123
_space_group_name_Hall '-P 4 2'
loop_
_atom_site_label
_atom_site_fract_x
_atom_site_fract_y
_atom_site_fract_z
_atom_site_occupancy
Nb1 0.000 0.000 0.000 1
Fe1 0.500 0.500 0.500 1
S1 0.500 0.500 0.000 1
N1 0.000 0.500 0.500 1
# * ΔE_f (raw): 0.610 eV per atom
# * magnetization: 1.415 μB/f.u.
# * V: 11.94 Å³ per atom
# * total energy: -7.252 eV per atom



[2]
# NbFeSN2, relaxed, DFT PBE
data_NbFeSN2
_chemical_formula_sum 'Nb1 Fe1 S1 N2'
_cell_length_a 3.959
_cell_length_b 3.959
_cell_length_c 5.159
_cell_angle_alpha 90.00
_cell_angle_beta 90.00
_cell_angle_gamma 90.00
_space_group_name_H-M_alt 'P 4/m m m'
_space_group_IT_number 123
_space_group_name_Hall '-P 4 2'
loop_
_atom_site_label
_atom_site_fract_x
_atom_site_fract_y
_atom_site_fract_z
_atom_site_occupancy
Nb1 0.000 0.000 0.000 1
Fe1 0.500 0.500 0.500 1
S1 0.000 0.000 0.500 1
N1 0.000 0.500 0.000 1
# * ΔE_f (raw): 0.526 eV per atom
# * magnetization: 4.385 μB/f.u.
# * V: 16.17 Å³ per atom
# * total energy: -7.336 eV per atom



[3]
# NbFeSe2N, relaxed, DFT PBE
data_NbFeSe2N
_chemical_formula_sum 'Nb1 Fe1 Se2 N1'
_cell_length_a 5.181
_cell_length_b 5.181
_cell_length_c 3.860
_cell_angle_alpha 90.00
_cell_angle_beta 90.00
_cell_angle_gamma 90.00
_space_group_name_H-M_alt 'P 4/m m m'
_space_group_IT_number 123
_space_group_name_Hall '-P 4 2'
loop_
_atom_site_label
_atom_site_fract_x
_atom_site_fract_y
_atom_site_fract_z
_atom_site_occupancy
Nb1 0.000 0.000 0.000 1
Fe1 0.500 0.500 0.500 1
Se1 0.000 0.500 0.000 1
N1 0.000 0.000 0.500 1
# * ΔE_f (raw): 0.383 eV per atom
# * magnetization: 3.916 μB/f.u.
# * V: 20.72 Å³ per atom
# * total energy: -6.382 eV per atom



[4]
# NbFeSeN2, relaxed, DFT PBE
data_NbFeSeN2
_chemical_formula_sum 'Nb1 Fe1 Se1 N2'
_cell_length_a 3.973
_cell_length_b 3.973
_cell_length_c 5.472
_cell_angle_alpha 90.00
_cell_angle_beta 90.00
_cell_angle_gamma 90.00
_space_group_name_H-M_alt 'P 4/m m m'
_space_group_IT_number 123
_space_group_name_Hall '-P 4 2'
loop_
_atom_site_label
_atom_site_fract_x
_atom_site_fract_y
_atom_site_fract_z
_atom_site_occupancy
Nb1 0.000 0.000 0.000 1
Fe1 0.500 0.500 0.500 1
Se1 0.000 0.000 0.500 1
N1 0.000 0.500 0.000 1
# * ΔE_f (raw): 0.540 eV per atom
# * magnetization: 4.180 μB/f.u.
# * V: 17.27 Å³ per atom
# * total energy: -7.193 eV per atom



[5]
# NbFeSe2N, relaxed, DFT PBE
data_NbFeSe2N
_chemical_formula_sum 'Nb1 Fe1 Se2 N1'
_cell_length_a 4.863
_cell_length_b 4.863
_cell_length_c 3.399
_cell_angle_alpha 90.00
_cell_angle_beta 90.00
_cell_angle_gamma 90.00
_space_group_name_H-M_alt 'P 4/m m m'
_space_group_IT_number 123
_space_group_name_Hall '-P 4 2'
loop_
_atom_site_label
_atom_site_fract_x
_atom_site_fract_y
_atom_site_fract_z
_atom_site_occupancy
Nb1 0.000 0.000 0.000 1
Fe1 0.500 0.500 0.500 1
Se1 0.000 0.500 0.500 1
N1 0.500 0.500 0.000 1
# * ΔE_f (raw): 0.275 eV per atom
# * magnetization: 1.783 μB/f.u.
# * V: 16.08 Å³ per atom
# * total energy: -6.490 eV per atom



[6]
# NbFeSeN2, relaxed, DFT PBE
data_NbFeSeN2
_chemical_formula_sum 'Nb1 Fe1 Se1 N2'
_cell_length_a 3.712
_cell_length_b 3.712
_cell_length_c 4.771
_cell_angle_alpha 90.00
_cell_angle_beta 90.00
_cell_angle_gamma 90.00
_space_group_name_H-M_alt 'P 4/m m m'
_space_group_IT_number 123
_space_group_name_Hall '-P 4 2'
loop_
_atom_site_label
_atom_site_fract_x
_atom_site_fract_y
_atom_site_fract_z
_atom_site_occupancy
Nb1 0.000 0.000 0.000 1
Fe1 0.500 0.500 0.500 1
Se1 0.500 0.500 0.000 1
N1 0.000 0.500 0.500 1
# * ΔE_f (raw): 0.791 eV per atom
# * magnetization: 1.761 μB/f.u.
# * V: 13.15 Å³ per atom
# * total energy: -6.942 eV per atom



[7]
# Nb2FeSnN, relaxed, DFT PBE
data_Nb2FeSnN
_chemical_formula_sum 'Nb2 Fe1 Sn1 N1'
_cell_length_a 4.346
_cell_length_b 4.346
_cell_length_c 3.922
_cell_angle_alpha 90.00
_cell_angle_beta 90.00
_cell_angle_gamma 90.00
_space_group_name_H-M_alt 'P 4/m m m'
_space_group_IT_number 123
_space_group_name_Hall '-P 4 2'
loop_
_atom_site_label
_atom_site_fract_x
_atom_site_fract_y
_atom_site_fract_z
_atom_site_occupancy
Nb1 0.000 0.500 0.000 1
Fe1 0.000 0.000 0.500 1
Sn1 0.500 0.500 0.500 1
N1 0.000 0.000 0.000 1
# * ΔE_f (raw): -0.355 eV per atom
# * magnetization: 1.619 μB/f.u.
# * V: 14.81 Å³ per atom
# * total energy: -8.541 eV per atom



[8]
# TaNbFeN2, relaxed, DFT PBE
data_TaNbFeN2
_chemical_formula_sum 'Ta1 Nb1 Fe1 N2'
_cell_length_a 3.976
_cell_length_b 3.976
_cell_length_c 5.541
_cell_angle_alpha 90.00
_cell_angle_beta 90.00
_cell_angle_gamma 90.00
_space_group_name_H-M_alt 'P 4/m m m'
_space_group_IT_number 123
_space_group_name_Hall '-P 4 2'
loop_
_atom_site_label
_atom_site_fract_x
_atom_site_fract_y
_atom_site_fract_z
_atom_site_occupancy
Ta1 0.000 0.000 0.000 1
Nb1 0.000 0.000 0.500 1
Fe1 0.500 0.500 0.000 1
N1 0.000 0.500 0.500 1
# * ΔE_f (raw): 1.341 eV per atom
# * magnetization: 2.519 μB/f.u.
# * V: 17.51 Å³ per atom
# * total energy: -8.066 eV per atom